# PBE Cu2PdRh2, optimized geometry
data_Cu2PdRh2
_symmetry_space_group_name_H-M 'P 4/m b m'
_symmetry_Int_Tables_number 127
_symmetry_space_group_name_Hall '-P 4 2ab'
_cell_length_a 7.159
_cell_length_b 7.159
_cell_length_c 2.748
_cell_angle_alpha 90.00
_cell_angle_beta 90.00
_cell_angle_gamma 90.00
loop_
_atom_site_label
_atom_site_type_symbol
_atom_site_fract_x
_atom_site_fract_y
_atom_site_fract_z
Cu1 Cu 0.124 0.376 0.000
Pd1 Pd 0.000 0.000 0.000
Rh1 Rh 0.173 0.673 0.500
# Energy relative to the lowest polymorph listed for this composition = 0.0 meV per atom
# ΔE_f = 233 meV per atom
# Magnetization = 0.93 μB per formula unit
# Calculated density = 10.4 g cm⁻³